# 1
Computed, not measured: a geometry-optimized Hf3SiP structure at the PBE level of DFT.

a = 4.7516 Å, b = 4.7516 Å, c = 4.7516 Å
α = 90.00°, β = 90.00°, γ = 90.00°
Closest atoms and distances in Å follow each position.
Fractional positions:
Hf1 0.0000 0.0000 0.5000  2 P 2.38
Hf2 0.0000 0.5000 0.0000  2 P 2.38
Hf3 0.5000 0.0000 0.0000  2 P 2.38
Si1 0.5000 0.5000 0.5000  12 Hf 3.36
P1 0.0000 0.0000 0.0000  6 Hf 2.38

Computed properties:
The calculated volume comes out at 107.3 Å³/cell. Its electronic total energy is -8.13 eV per atom. The crystal system is cubic.

# 2
Computed, not measured: a geometry-optimized YTmZn2Ge2 structure at the PBE level of DFT.

a = 4.2226 Å, b = 4.2226 Å, c = 15.5675 Å
α = 90.00°, β = 90.00°, γ = 120.00°
Closest atoms and distances in Å follow each position.
Fractional positions:
Y1 0.0000 0.0000 0.0000  6 Ge 3.03, 6 Zn 3.37
Y2 0.0000 0.0000 0.5000  6 Ge 3.03, 6 Zn 3.37
Tm1 0.0000 0.0000 0.2500  6 Zn 2.89, 6 Ge 3.22
Tm2 0.0000 0.0000 0.7500  6 Zn 2.89, 6 Ge 3.22
Zn1 0.3333 0.6667 0.1498  3 Ge 2.50
Zn2 0.3333 0.6667 0.3502  3 Ge 2.50
Zn3 0.6667 0.3333 0.6498  3 Ge 2.50
Zn4 0.6667 0.3333 0.8502  3 Ge 2.50
Ge1 0.3333 0.6667 0.6153  3 Zn 2.50
Ge2 0.3333 0.6667 0.8847  3 Zn 2.50
Ge3 0.6667 0.3333 0.1153  3 Zn 2.50
Ge4 0.6667 0.3333 0.3847  3 Zn 2.50

Computed properties:
The calculated volume comes out at 240.4 Å³/cell. The crystal system is hexagonal. For the polymorph energy (0 for the lowest one), the calculation gives 0 meV/atom.

# 3
Computed, not measured: a geometry-optimized LuZr2ScSb2 structure at the PBE level of DFT.

a = 8.5899 Å, b = 8.5899 Å, c = 8.5899 Å
α = 151.63°, β = 151.63°, γ = 40.55°
Closest atoms and distances in Å follow each position.
Fractional positions:
Lu1 0.0000 0.0000 0.0000  5 Sb 3.00-3.03
Zr1 0.1764 0.6764 0.5000  4 Zr 2.98, 4 Sb 3.06-3.08
Zr2 0.6764 0.1764 0.5000  4 Zr 2.98, 4 Sb 3.06-3.08
Sc1 0.3497 0.3497 0.0000  5 Sb 3.01-3.03
Sb1 0.5365 0.5365 0.0000  1 Sc 3.01, 4 Lu 3.03, 4 Zr 3.08
Sb2 0.8140 0.8140 0.0000  1 Lu 3.00, 4 Sc 3.03, 4 Zr 3.06

Computed properties:
The calculated volume comes out at 142.8 Å³/cell. Its electronic total energy is -6.76 eV per atom. The crystal system is tetragonal.

# 4
Computed, not measured: a geometry-optimized TbSi2Ni structure at the PBE level of DFT.

a = 3.7021 Å, b = 5.1261 Å, c = 7.4150 Å
α = 90.00°, β = 90.00°, γ = 90.00°
Closest atoms and distances in Å follow each position.
Fractional positions:
Tb1 0.0000 0.0012 0.0000  6 Si 2.88-3.01, 4 Ni 3.16-3.17
Tb2 0.0000 0.9988 0.5000  6 Si 2.88-3.01, 4 Ni 3.16-3.17
Si1 0.0000 0.4626 0.7499  2 Si 2.42, 4 Ni 2.61-2.64
Si2 0.0000 0.5374 0.2499  2 Si 2.42, 4 Ni 2.61-2.64
Si3 0.5000 0.2322 0.2507  2 Ni 2.31, 2 Si 2.42
Si4 0.5000 0.7678 0.7507  2 Ni 2.31, 2 Si 2.42
Ni1 0.5000 0.4975 0.5020  2 Si 2.31
Ni2 0.5000 0.5025 0.0020  2 Si 2.31

Computed properties:
The calculated volume comes out at 140.7 Å³/cell. Its electronic total energy is -5.76 eV per atom. The crystal system is orthorhombic.

# 5
Computed, not measured: a geometry-optimized HoBiI6 structure at the PBE level of DFT.

a = 7.7367 Å, b = 7.7367 Å, c = 7.7565 Å
α = 99.34°, β = 99.34°, γ = 120.07°
Closest atoms and distances in Å follow each position.
Fractional positions:
Ho1 0.0000 0.0000 0.0000  6 I 3.04
Bi1 0.3324 0.6676 0.0000  6 I 3.11-3.12
I1 0.0912 0.4045 0.2410  1 Ho 3.04, 1 Bi 3.11
I2 0.2339 0.2491 0.7592  1 Ho 3.04, 1 Bi 3.11
I3 0.3874 0.0630 0.2455  1 Ho 3.04, 1 Bi 3.12
I4 0.5955 0.9088 0.7590  1 Ho 3.04, 1 Bi 3.11
I5 0.7509 0.7661 0.2408  1 Ho 3.04, 1 Bi 3.11
I6 0.9370 0.6126 0.7545  1 Ho 3.04, 1 Bi 3.12

Computed properties:
The calculated volume comes out at 380.0 Å³/cell. Its electronic total energy is -3.17 eV per atom. The crystal system is monoclinic.

# 6
Computed, not measured: a geometry-optimized SmDyCuSi3 structure at the PBE level of DFT.

a = 8.0775 Å, b = 8.0272 Å, c = 5.7473 Å
α = 69.56°, β = 68.62°, γ = 41.81°
Closest atoms and distances in Å follow each position.
Fractional positions:
Sm1 0.2435 0.7565 0.2435  10 Si 3.09-3.12, 2 Cu 3.14
Sm2 0.7565 0.2435 0.7565  10 Si 3.09-3.12, 2 Cu 3.14
Dy1 0.2500 0.2500 0.2500  8 Si 3.08, 4 Cu 3.10
Dy2 0.7500 0.7500 0.7500  8 Si 3.08, 4 Cu 3.10
Cu1 0.3329 0.3329 0.6671  3 Si 2.27
Cu2 0.6671 0.6671 0.3329  3 Si 2.27
Si1 0.1696 0.1696 0.8304  1 Cu 2.27, 2 Si 2.36
Si2 0.1701 0.6596 0.8299  1 Cu 2.27, 2 Si 2.36-2.37
Si3 0.3404 0.8299 0.6596  1 Cu 2.27, 2 Si 2.36-2.37
Si4 0.6596 0.1701 0.3404  1 Cu 2.27, 2 Si 2.36-2.37
Si5 0.8299 0.3404 0.1701  1 Cu 2.27, 2 Si 2.36-2.37
Si6 0.8304 0.8304 0.1696  1 Cu 2.27, 2 Si 2.36

Computed properties:
The calculated volume comes out at 229.6 Å³/cell. The crystal system is orthorhombic. For the polymorph energy (0 for the lowest one), the calculation gives 0 meV/atom.

# 7
Computed, not measured: a geometry-optimized SrHgBAu structure at the PBE level of DFT.

a = 4.9445 Å, b = 4.9445 Å, c = 4.9445 Å
α = 60.00°, β = 60.00°, γ = 60.00°
Closest atoms and distances in Å follow each position.
Fractional positions:
Sr1 0.0000 0.0000 0.0000  4 B 3.03, 4 Au 3.03
Hg1 0.5000 0.5000 0.5000  4 Au 3.03, 4 B 3.03
B1 0.7500 0.7500 0.7500  4 Hg 3.03, 4 Sr 3.03
Au1 0.2500 0.2500 0.2500  4 Hg 3.03, 4 Sr 3.03

Computed properties:
The calculated volume comes out at 85.5 Å³/cell. The crystal system is cubic. For the polymorph energy (0 for the lowest one), the calculation gives 0 meV/atom.

# 8
Computed, not measured: a geometry-optimized Zr2AlZn structure at the PBE level of DFT.

a = 4.7741 Å, b = 4.7741 Å, c = 4.7741 Å
α = 60.00°, β = 60.00°, γ = 60.00°
Closest atoms and distances in Å follow each position.
Fractional positions:
Zr1 0.0000 0.0000 0.0000  4 Zn 2.92, 4 Zr 2.92
Zr2 0.2500 0.2500 0.2500  4 Zr 2.92, 4 Al 2.92
Al1 0.5000 0.5000 0.5000  4 Zn 2.92, 4 Zr 2.92
Zn1 0.7500 0.7500 0.7500  4 Zr 2.92, 4 Al 2.92

Computed properties:
The calculated volume comes out at 76.9 Å³/cell. Its electronic total energy is -5.38 eV per atom. The crystal system is cubic.